(1)
A plane-wave DFT calculation with PBE-GGA was carried out for a geometry-optimized ReMo2Se structure.

The structure belongs to space group C2/m (No. 12); the cell edges are 9.969, 3.060 and 4.505 Å and the angles 90.00°, 116.71° and 90.00°. The inequivalent atoms are Re at (0.000, 0.000, 0.000), Mo at (0.231, 0.000, 0.732) and Se at (0.000, 0.500, 0.500).

For the formation energy from raw total energies, the calculation gives 0.30 eV/atom.


(2)
A plane-wave DFT calculation with PBE-GGA was carried out for a geometry-optimized InTc2Os structure.

The structure belongs to space group P4mm (No. 99); the cell edges are 2.856, 2.856 and 7.817 Å and the angles 90.00°, 90.00° and 90.00°. The inequivalent atoms are In at (0.000, 0.000, 0.000), Tc at (0.000, 0.000, 0.495), Tc at (0.500, 0.500, 0.726) and Os at (0.500, 0.500, 0.273).

The calculation puts the energy of formation from the pure elements at 23.8 kJ per mole of atoms.


(3)
A plane-wave DFT calculation with PBE-GGA was carried out for a geometry-optimized Mg3TiTe structure.

The structure belongs to space group Pm-3m (No. 221); the cell edges are 5.428, 5.428 and 5.428 Å and the angles 90.00°, 90.00° and 90.00°. The inequivalent atoms are Mg at (0.000, 0.000, 0.500), Ti at (0.000, 0.000, 0.000) and Te at (0.500, 0.500, 0.500).

For the formation energy from raw total energies, the calculation gives 0.85 eV/atom. As for the energy above the most stable polymorph in this dataset: 102 meV/atom.


(4)
A plane-wave DFT calculation with PBE-GGA was carried out for a geometry-optimized Na4MgHg3 structure.

The structure belongs to space group I4/mcm (No. 140); the cell edges are 11.986, 11.986 and 6.006 Å and the angles 90.00°, 90.00° and 90.00°. The inequivalent atoms are Na at (0.086, 0.222, 0.000), Mg at (0.000, 0.500, 0.250), Hg at (0.000, 0.000, 0.250) and Hg at (0.151, 0.349, 0.500).

The calculation puts the energy of formation from the pure elements at -19.4 kJ per mole of atoms.


Number 1: DOS(E_F) 5.04 states/eV per cell. Number 2: DOS(E_F) 5.08 states/eV per cell. Number 3: DOS(E_F) 5.49 states/eV per cell. Number 4: DOS(E_F) 18.69 states/eV per cell.